Below is a geometry-optimized TmAg2C2O6 structure, with properties calculated at the GGA-PBE level.

Results
**Space group**: No. 12
**Calculated total energy**: -74.5 eV for the cell shown
**ρ**: 5.07 Mg/m³

Geometry as POSCAR:
```
TmAg2C2O6
1.0
4.476 -2.716 0.000
4.476 2.716 0.000
-3.928 0.000 6.797
Tm Ag C O
1 2 2 6
Direct
0.000 0.000 0.000
0.177 0.177 0.588
0.823 0.823 0.412
0.436 0.436 0.185
0.564 0.564 0.815
0.275 0.686 0.792
0.280 0.280 0.148
0.314 0.725 0.208
0.686 0.275 0.792
0.720 0.720 0.852
0.725 0.314 0.208
```